Computed, not measured: a relaxed structure of La4IrOsCl2 at the GGA-PBE level of DFT.

Calculated values
The calculation puts the calculated total energy at -6.575 eV/atom. The value obtained for the magnetization is 0.00 μB per atom. The raw formation energy comes out at -1.138 eV/atom. Its calculated density is 7.28 g/cm3. Its space group is No. 10.

abc: 7.228 4.181 7.988
angles: 90.00 107.59 90.00
Fractional coordinates of all 8 atoms:
La 0.231 0.000 0.205
La 0.261 0.500 0.797
La 0.739 0.500 0.203
La 0.769 0.000 0.795
Ir 0.500 0.000 0.000
Os 0.000 0.500 0.000
Cl 0.000 0.000 0.500
Cl 0.500 0.500 0.500